1.
Material: Cs3La2SmO6
Method: DFT, PBE
State: relaxed

a = 6.478 Å, b = 6.478 Å, c = 7.271 Å
α = 98.52°, β = 98.52°, γ = 120.02°
Positions (direct):
Cs 0.000 0.000 0.000
Cs 0.334 0.666 0.000
Cs 0.666 0.334 0.000
La 0.167 0.833 0.500
La 0.833 0.167 0.500
Sm 0.500 0.500 0.500
O 0.118 0.444 0.331
O 0.230 0.230 0.669
O 0.444 0.118 0.331
O 0.556 0.882 0.669
O 0.770 0.770 0.331
O 0.882 0.556 0.669

energy relative to the elements, uncorrected = -30.79 eV/f.u.
DFT total energy = -77.7 eV per cell
density = 6073 kg/m³


2.
Material: BaNi3As
Method: DFT, PBE
State: relaxed

a = 4.599 Å, b = 4.599 Å, c = 4.599 Å
α = 90.00°, β = 90.00°, γ = 90.00°
Positions (direct):
Ba 0.000 0.000 0.000
Ni 0.000 0.500 0.500
Ni 0.500 0.000 0.500
Ni 0.500 0.500 0.000
As 0.500 0.500 0.500

E above lowest polymorph = 0.0 meV/atom
DFT total energy = -24.1 eV per cell
density = 6627 kg/m³


3.
Material: ErTmLuAl
Method: DFT, PBE
State: relaxed

a = 5.264 Å, b = 5.264 Å, c = 5.264 Å
α = 60.00°, β = 60.00°, γ = 60.00°
Positions (direct):
Er 0.000 0.000 0.000
Tm 0.500 0.500 0.500
Lu 0.250 0.250 0.250
Al 0.750 0.750 0.750

DFT total energy = -17.6 eV per cell
density = 8662 kg/m³


4.
Material: K2PuBr4O2
Method: DFT, PBE
State: relaxed

a = 7.248 Å, b = 7.248 Å, c = 5.850 Å
α = 92.10°, β = 92.10°, γ = 65.95°
Positions (direct):
K 0.153 0.153 0.251
K 0.847 0.847 0.749
Pu 0.500 0.500 0.500
Br 0.123 0.646 0.258
Br 0.354 0.877 0.742
Br 0.646 0.123 0.258
Br 0.877 0.354 0.742
O 0.395 0.395 0.701
O 0.605 0.605 0.299

energy relative to the elements, uncorrected = -16.15 eV/f.u.
DFT total energy = -49.3 eV per cell
density = 3991 kg/m³


5.
Material: DyTa2B6
Method: DFT, PBE
State: relaxed

a = 5.819 Å, b = 5.819 Å, c = 5.819 Å
α = 147.88°, β = 102.90°, γ = 85.97°
Positions (direct):
Dy 0.000 0.000 0.000
Ta 0.338 0.838 0.500
Ta 0.662 0.162 0.500
B 0.068 0.304 0.764
B 0.349 0.500 0.849
B 0.461 0.696 0.764
B 0.539 0.304 0.236
B 0.651 0.500 0.151
B 0.932 0.696 0.236

E above lowest polymorph = 132.1 meV/atom
DFT total energy = -73.3 eV per cell
density = 9843 kg/m³


6.
Material: La2Zn5Ni5
Method: DFT, PBE
State: relaxed

a = 4.090 Å, b = 5.261 Å, c = 9.039 Å
α = 90.00°, β = 90.00°, γ = 90.00°
Positions (direct):
La 0.000 0.000 0.000
La 0.000 0.500 0.500
Zn 0.500 0.000 0.500
Zn 0.500 0.254 0.244
Zn 0.500 0.254 0.756
Zn 0.500 0.746 0.244
Zn 0.500 0.746 0.756
Ni 0.000 0.000 0.333
Ni 0.000 0.000 0.667
Ni 0.000 0.500 0.158
Ni 0.000 0.500 0.842
Ni 0.500 0.500 0.000

E above lowest polymorph = 0.0 meV/atom
DFT total energy = -49.4 eV per cell
density = 7669 kg/m³


7.
Material: Pa2AgPd
Method: DFT, PBE
State: relaxed

a = 4.395 Å, b = 4.395 Å, c = 4.418 Å
α = 90.00°, β = 90.00°, γ = 90.00°
Positions (direct):
Pa 0.000 0.500 0.000
Pa 0.500 0.000 0.000
Ag 0.000 0.000 0.500
Pd 0.500 0.500 0.500

E above lowest polymorph = 13.8 meV/atom
DFT total energy = -27.3 eV per cell
density = 13160 kg/m³


8.
Material: PmInSb4
Method: DFT, PBE
State: relaxed

a = 6.310 Å, b = 6.310 Å, c = 6.310 Å
α = 60.00°, β = 60.00°, γ = 60.00°
Positions (direct):
Pm 0.000 0.000 0.000
In 0.750 0.750 0.750
Sb 0.376 0.376 0.376
Sb 0.376 0.376 0.872
Sb 0.376 0.872 0.376
Sb 0.872 0.376 0.376

energy relative to the elements, uncorrected = -0.54 eV/f.u.
DFT total energy = -24.5 eV per cell
density = 6980 kg/m³


9.
Material: PrTcP
Method: DFT, PBE
State: relaxed

a = 4.058 Å, b = 4.058 Å, c = 4.434 Å
α = 90.00°, β = 90.00°, γ = 120.00°
Positions (direct):
Pr 0.000 0.000 0.000
Tc 0.333 0.667 0.500
P 0.667 0.333 0.500

DFT total energy = -22.4 eV per cell
density = 7087 kg/m³


10.
Material: TaPOs2
Method: DFT, PBE
State: relaxed

a = 8.722 Å, b = 8.722 Å, c = 8.722 Å
α = 18.60°, β = 18.60°, γ = 18.60°
Positions (direct):
Ta 0.000 0.000 0.000
P 0.249 0.249 0.249
Os 0.511 0.511 0.511
Os 0.758 0.758 0.758

DFT total energy = -39.5 eV per cell
density = 16692 kg/m³


11.
Material: Th2Co3P4Os
Method: DFT, PBE
State: relaxed

a = 4.038 Å, b = 4.038 Å, c = 9.320 Å
α = 90.00°, β = 90.00°, γ = 90.00°
Positions (direct):
Th 0.000 0.500 0.241
Th 0.500 0.000 0.759
Co 0.000 0.500 0.892
Co 0.500 0.000 0.108
Co 0.500 0.500 0.500
P 0.000 0.000 0.000
P 0.000 0.500 0.639
P 0.500 0.000 0.361
P 0.500 0.500 0.000
Os 0.000 0.000 0.500

DFT total energy = -79.1 eV per cell
density = 10435 kg/m³


12.
Material: Tb2Pm2Sm4Er
Method: DFT, PBE
State: relaxed

a = 9.602 Å, b = 9.602 Å, c = 9.670 Å
α = 115.15°, β = 115.15°, γ = 21.84°
Positions (direct):
Tb 0.148 0.148 0.167
Tb 0.852 0.852 0.833
Pm 0.334 0.334 0.502
Pm 0.666 0.666 0.498
Sm 0.185 0.185 0.833
Sm 0.482 0.482 0.167
Sm 0.518 0.518 0.833
Sm 0.815 0.815 0.167
Er 0.000 0.000 0.500

DFT total energy = -42.1 eV per cell
density = 7647 kg/m³